1.
DFT (PBEsol) results for a relaxed AlInP2 crystal.

POSCAR file:
```
AlInP2
1.0
4.004 0.000 0.000
0.000 4.004 0.000
0.000 0.000 5.661
Al In P
1 1 2
Cartesian
0.000 0.000 0.000 Al
2.002 2.002 2.831 In
0.000 2.002 4.369 P
2.002 0.000 1.292 P
```

Results
The value obtained for the energy of formation is -0.36 eV per atom. The excess energy over the best structure of this formula in the dataset is 12 meV/atom. As for the space group: P-4m2, No. 115. The calculation puts the total magnetization at 0.0 μB per formula unit. For the density of states at the Fermi level, the calculation gives 0.000 states/eV per atom.


2.
DFT (PBEsol) results for a relaxed AlInP2 crystal.

POSCAR file:
```
AlInP2
1.0
1.732 1.000 7.021
-1.732 1.000 7.021
0.000 -2.000 7.021
Al In P
1 1 2
Cartesian
0.000 0.000 0.000 Al
0.000 0.000 4.902 In
0.000 0.000 9.940 P
0.000 0.000 15.618 P
```

Results
The value obtained for the energy of formation is 0.10 eV per atom. The excess energy over the best structure of this formula in the dataset is 472 meV/atom. As for the space group: R3m, No. 160. The calculation puts the total magnetization at 0.0 μB per formula unit. For the density of states at the Fermi level, the calculation gives 0.435 states/eV per atom.


3.
DFT (PBEsol) results for a relaxed AlInP2 crystal.

POSCAR file:
```
AlInP2
1.0
1.836 -2.736 0.000
1.836 2.736 0.000
0.000 0.000 7.337
Al In P
1 1 2
Cartesian
0.000 0.000 0.000 Al
0.000 0.000 3.668 In
1.836 0.000 1.577 P
1.836 0.000 5.759 P
```

Results
The value obtained for the energy of formation is 0.17 eV per atom. The excess energy over the best structure of this formula in the dataset is 549 meV/atom. As for the space group: Cmmm, No. 65. The calculation puts the total magnetization at 0.0 μB per formula unit. For the density of states at the Fermi level, the calculation gives 0.493 states/eV per atom.


4.
DFT (PBEsol) results for a relaxed AlIn2P crystal.

POSCAR file:
```
AlIn2P
1.0
2.972 -3.736 0.000
2.972 3.736 0.000
0.000 0.000 3.674
Al In P
1 2 1
Cartesian
0.000 0.000 0.000 Al
1.486 1.868 1.837 In
1.486 -1.868 1.837 In
2.972 0.000 0.000 P
```

Results
The value obtained for the energy of formation is 0.22 eV per atom. As for the space group: Cmmm, No. 65. The calculation puts the total magnetization at 0.0 μB per formula unit. For the density of states at the Fermi level, the calculation gives 0.373 states/eV per atom.


5.
DFT (PBEsol) results for a relaxed AlInP2 crystal.

POSCAR file:
```
AlInP2
1.0
0.000 3.248 3.248
3.248 0.000 3.248
3.248 3.248 0.000
Al In P
1 1 2
Cartesian
0.000 0.000 0.000 Al
3.248 3.248 3.248 In
1.624 1.624 1.624 P
4.873 4.873 4.873 P
```

Results
The value obtained for the energy of formation is 0.27 eV per atom. The excess energy over the best structure of this formula in the dataset is 643 meV/atom. As for the space group: Fm-3m, No. 225. The calculation puts the total magnetization at 0.0 μB per formula unit. For the density of states at the Fermi level, the calculation gives 0.516 states/eV per atom.


6.
DFT (PBEsol) results for a relaxed AlInP2 crystal.

POSCAR file:
```
AlInP2
1.0
-2.832 2.832 5.646
2.832 -2.832 5.646
2.832 2.832 -5.646
Al In P
2 2 4
Cartesian
0.000 0.000 0.000 Al
0.000 2.832 2.823 Al
2.832 0.000 2.823 In
0.000 0.000 5.646 In
4.249 1.267 -1.411 P
1.267 1.416 1.411 P
-1.416 1.565 4.234 P
1.565 1.416 7.057 P
```

Results
The value obtained for the energy of formation is -0.37 eV per atom. The excess energy over the best structure of this formula in the dataset is 0 meV/atom. As for the space group: I-42d, No. 122. The calculation puts the total magnetization at 0.0 μB per formula unit. For the density of states at the Fermi level, the calculation gives 0.000 states/eV per atom.


7.
DFT (PBEsol) results for a relaxed TaAlIn2P crystal.

POSCAR file:
```
TaAlIn2P
1.0
4.948 0.000 0.000
0.000 4.948 0.000
0.000 0.000 4.875
Ta Al In P
1 1 2 1
Cartesian
0.000 0.000 0.000 Ta
0.000 0.000 2.438 Al
0.000 2.474 2.438 In
2.474 0.000 2.438 In
2.474 2.474 0.000 P
```

Results
The value obtained for the energy of formation is 1.26 eV per atom. As for the space group: P4/mmm, No. 123. The calculation puts the total magnetization at 0.0 μB per formula unit. For the density of states at the Fermi level, the calculation gives 0.965 states/eV per atom.


8.
DFT (PBEsol) results for a relaxed Ta2AlInP crystal.

POSCAR file:
```
Ta2AlInP
1.0
5.068 0.000 0.000
0.000 5.068 0.000
0.000 0.000 4.505
Ta Al In P
2 1 1 1
Cartesian
0.000 2.534 0.000 Ta
2.534 0.000 0.000 Ta
0.000 0.000 2.253 Al
0.000 0.000 0.000 In
2.534 2.534 2.253 P
```

Results
The value obtained for the energy of formation is 2.07 eV per atom. As for the space group: P4/mmm, No. 123. The calculation puts the total magnetization at 0.0 μB per formula unit. For the density of states at the Fermi level, the calculation gives 1.614 states/eV per atom.